(1)
Material: SnGeC2
Method: DFT, PBE-GGA
State: optimized geometry

Cell: 4.215 4.215 4.215 Å, 60.00 60.00 60.00°
Sites, in units of the cell vectors:
Sn: 0.000 0.000 0.000
Ge: 0.500 0.500 0.500
C: 0.250 0.250 0.250
C: 0.750 0.750 0.750

Output
Symmetry: Fm-3m, No. 225
Crystal system: cubic
E_form, eV per atom: 2.11
Offset from the most stable computed form, eV per atom: 1.4323
E, eV/atom: -4.65

(2)
Material: Nd3MgHg
Method: DFT, PBE-GGA
State: optimized geometry

Cell: 6.986 6.986 15.187 Å, 95.06 95.06 57.03°
Sites, in units of the cell vectors:
Nd: 0.010 0.639 0.204
Nd: 0.054 0.826 0.885
Nd: 0.139 0.479 0.600
Nd: 0.174 0.946 0.615
Nd: 0.361 0.990 0.296
Nd: 0.479 0.139 0.100
Nd: 0.521 0.861 0.900
Nd: 0.639 0.010 0.704
Nd: 0.826 0.054 0.385
Nd: 0.861 0.521 0.400
Nd: 0.946 0.174 0.115
Nd: 0.990 0.361 0.796
Mg: 0.330 0.569 0.417
Mg: 0.431 0.670 0.083
Mg: 0.569 0.330 0.917
Mg: 0.670 0.431 0.583
Hg: 0.000 0.500 0.000
Hg: 0.453 0.547 0.750
Hg: 0.500 0.000 0.500
Hg: 0.547 0.453 0.250

Output
Symmetry: C2/c, No. 15
Crystal system: monoclinic
E_form, eV per atom: -0.11
Offset from the most stable computed form, eV per atom: 0.0929
E, eV/atom: -3.35

(3)
Material: CrGa2Tc2
Method: DFT, PBE-GGA
State: optimized geometry

Cell: 6.209 6.209 4.014 Å, 90.00 90.00 90.00°
Sites, in units of the cell vectors:
Cr: 0.000 0.000 0.000
Cr: 0.500 0.500 0.000
Ga: 0.168 0.332 0.500
Ga: 0.332 0.832 0.500
Ga: 0.668 0.168 0.500
Ga: 0.832 0.668 0.500
Tc: 0.145 0.645 0.000
Tc: 0.355 0.145 0.000
Tc: 0.645 0.855 0.000
Tc: 0.855 0.355 0.000

Output
Symmetry: P4/mbm, No. 127
Crystal system: tetragonal
E_form, eV per atom: 0.26
Offset from the most stable computed form, eV per atom: 0.0812
E, eV/atom: -7.03

(4)
Material: Zn2FeRe
Method: DFT, PBE-GGA
State: optimized geometry

Cell: 8.965 8.965 8.965 Å, 17.31 17.31 17.31°
Sites, in units of the cell vectors:
Zn: 0.000 0.000 0.000
Zn: 0.241 0.241 0.241
Fe: 0.746 0.746 0.746
Re: 0.486 0.486 0.486

Output
Symmetry: R3m, No. 160
Crystal system: trigonal
E_form, eV per atom: 0.11
Offset from the most stable computed form, eV per atom: 0.0680
E, eV/atom: -5.75